CaLa2InTe4 (PBE, optimized geometry); calculated volume = 279.91 Å³ per cell; formation energy from raw total energies = -1.30 eV/atom; uncorrected energy = -37.6 eV per cell
1.0
-2.356 -3.847 -0.615
0.609 -1.646 7.956
-6.243 3.221 3.759
Ca La In Te
1 2 1 4
Cartesian
-2.817 0.788 5.857
-6.243 3.221 3.759
-4.299 -0.313 1.572
-0.873 -2.746 3.670
-4.177 1.149 8.808
-3.812 -3.420 2.291
-2.315 -2.334 6.607
-5.675 0.062 4.492